Crystalline Li2Ni13 at its relaxed geometry. Source: Alexandria, functional PBE.

Output
Crystal system = trigonal
Space group = R-3m (166)
Energy = -4.810 eV per atom

Cell lengths 6.5266, 6.5266, 6.5266 Å; angles 59.11, 59.11, 59.11 degrees
Element x y z (fractional)
Li 0.2374 0.2374 0.2374
Li 0.7627 0.7627 0.7627
Ni 0.0161 0.0161 0.6557
Ni 0.0161 0.6557 0.0161
Ni 0.2424 0.2424 0.6128
Ni 0.2424 0.6128 0.2424
Ni 0.3443 0.9839 0.9839
Ni 0.3872 0.7576 0.7576
Ni 0.5000 0.5000 0.5000
Ni 0.6128 0.2424 0.2424
Ni 0.6557 0.0161 0.0161
Ni 0.7576 0.3872 0.7576
Ni 0.7576 0.7576 0.3872
Ni 0.9839 0.3443 0.9839
Ni 0.9839 0.9839 0.3443